Record 1
! PBE-GGA NiSnS, optimized geometry; values from VASP
&SYSTEM
  ibrav = 0, nat = 3, ntyp = 3
/
ATOMIC_SPECIES
Ni 58.69 Ni.upf
Sn 118.71 Sn.upf
S 32.06 S.upf
ATOMIC_POSITIONS angstrom
Ni 0.000 0.000 0.000
Sn 0.000 2.128 3.215
S 1.843 1.064 0.573
CELL_PARAMETERS angstrom
3.686 0.000 0.000
-1.843 3.192 0.000
0.000 0.000 4.924
! Spin magnetization: 0.00 μB per formula unit
! Uncorrected formation energy: -23.14 kJ per mole of atoms

Record 2
! PBE-GGA NaGeS, optimized geometry; values from VASP
&SYSTEM
  ibrav = 0, nat = 3, ntyp = 3
/
ATOMIC_SPECIES
Na 22.99 Na.upf
Ge 72.64 Ge.upf
S 32.06 S.upf
ATOMIC_POSITIONS angstrom
Na 0.000 0.000 0.000
Ge 0.000 0.000 3.239
S 0.000 0.000 5.414
CELL_PARAMETERS angstrom
-1.907 1.907 5.920
1.907 -1.907 5.920
1.907 1.907 -5.920
! Spin magnetization: 0.00 μB per formula unit
! Uncorrected formation energy: -29.21 kJ per mole of atoms

Record 3
! PBE-GGA HfMg2Cd2, optimized geometry; values from VASP
&SYSTEM
  ibrav = 0, nat = 10, ntyp = 3
/
ATOMIC_SPECIES
Hf 178.49 Hf.upf
Mg 24.30 Mg.upf
Cd 112.41 Cd.upf
ATOMIC_POSITIONS angstrom
Hf 0.000 0.000 0.000
Hf 4.175 4.175 0.000
Mg 1.048 3.127 0.000
Mg 3.127 7.301 0.000
Mg 5.222 1.048 0.000
Mg 7.301 5.222 0.000
Cd 1.459 5.634 1.507
Cd 2.715 1.459 1.507
Cd 5.634 6.890 1.507
Cd 6.890 2.715 1.507
CELL_PARAMETERS angstrom
8.349 0.000 0.000
0.000 8.349 0.000
0.000 0.000 3.013
! Spin magnetization: 0.00 μB per formula unit
! Formation energy: 0.091 eV/atom
! Relative energy among the computed polymorphs: 10 meV per atom

Record 4
! PBE-GGA Sm2HoSc6, optimized geometry; values from VASP
&SYSTEM
  ibrav = 0, nat = 9, ntyp = 3
/
ATOMIC_SPECIES
Sm 150.36 Sm.upf
Ho 164.93 Ho.upf
Sc 44.96 Sc.upf
ATOMIC_POSITIONS angstrom
Sm 0.000 5.341 0.000
Sm 4.625 2.670 0.000
Ho 0.000 0.000 0.000
Sc -1.534 2.658 1.643
Sc -3.091 5.353 1.643
Sc 3.069 0.000 1.643
Sc 1.534 2.658 1.643
Sc 6.182 0.000 1.643
Sc 3.091 5.353 1.643
CELL_PARAMETERS angstrom
9.251 0.000 0.000
-4.625 8.011 0.000
0.000 0.000 3.287
! Spin magnetization: 0.01 μB per formula unit
! Formation energy: 0.069 eV/atom

Record 5
! PBE-GGA Tm8InCu2, optimized geometry; values from VASP
&SYSTEM
  ibrav = 0, nat = 11, ntyp = 3
/
ATOMIC_SPECIES
Tm 168.93 Tm.upf
In 114.82 In.upf
Cu 63.55 Cu.upf
ATOMIC_POSITIONS angstrom
Tm 0.925 1.674 2.974
Tm 4.331 3.453 0.000
Tm 0.925 -1.674 2.974
Tm 3.115 0.000 0.990
Tm 4.097 0.000 4.060
Tm 6.286 1.674 2.077
Tm 4.331 -3.453 0.000
Tm 6.286 -1.674 2.077
In 0.000 0.000 0.000
Cu 3.606 2.561 2.525
Cu 3.606 -2.561 2.525
CELL_PARAMETERS angstrom
4.331 -6.690 0.000
4.331 6.690 0.000
-1.450 0.000 5.051
! Spin magnetization: 1.19 μB per formula unit
! Formation energy: -0.084 eV/atom